No. 1
AlCrPt | PBE | optimized geometry

POSCAR file:
```
AlCrPt
1.0
-2.2755 3.1796 1.3347
-0.2226 0.8284 4.0414
1.8474 3.3668 1.5234
Cr Al Pt
1 1 1
direct
0.5000 0.5000 0.5000
0.0000 0.0000 0.0000
0.7500 0.7500 0.7500
```

Values from the calculation:
The value obtained for the energy of formation is -0.222 eV per atom. Its space-group type is F-43m (216). For the calculated volume, the calculation gives 49.9 Å³/f.u.

---

No. 2
LiScHgBi | PBE | optimized geometry

POSCAR file:
```
LiScHgBi
1.0
-1.4831 0.3890 4.8129
1.5475 -3.3978 3.4022
3.3208 1.3290 3.5666
Sc Li Bi Hg
1 1 1 1
direct
0.0000 0.0000 0.0000
0.5000 0.5000 0.5000
0.2500 0.2500 0.2500
0.7500 0.7500 0.7500
```

Values from the calculation:
The value obtained for the energy of formation is -0.386 eV per atom. Its space-group type is F-43m (216). For the calculated volume, the calculation gives 91.1 Å³/f.u.